Entry 1:
Li3AgPb: optimized geometry, PBEsol.

```
Li3AgPb
1.0
4.7581 0.0000 0.0000
0.0000 4.7581 0.0000
0.0000 0.0000 4.7581
Pb Ag Li
1 1 3
Direct
0.5000 0.5000 0.5000
0.0000 0.0000 0.0000
0.0000 0.5000 0.0000
0.0000 0.0000 0.5000
0.5000 0.0000 0.0000
```

DFT formation energy	0.0499	eV per atom
SG	Pm-3m, No. 221
DOS at the Fermi energy	1.85	states/eV/cell

***

Entry 2:
SbOs2W: optimized geometry, PBEsol.

```
SbOs2W
1.0
-0.2339 2.8034 0.6799
-1.3083 1.8270 -1.8238
-8.2159 -0.0516 3.5458
Os Sb W
2 1 1
Direct
0.0007 0.0007 0.9978
0.7479 0.7479 0.7563
0.4978 0.4978 0.5065
0.2535 0.2535 0.2394
```

formation energy (no corrections)	0.54	eV per atom
SG	R3m, No. 160
DOS at the Fermi energy	2.69	states/eV/cell

***

Entry 3:
Rb2LuAgCl6: optimized geometry, PBEsol.

```
Rb2LuAgCl6
1.0
7.3467 0.0000 0.0000
3.6733 6.3624 0.0000
3.6733 2.1208 5.9985
Lu Ag Rb Cl
1 1 2 6
Direct
0.0000 0.0000 0.0000
0.5000 0.5000 0.5000
0.7500 0.7500 0.7500
0.2500 0.2500 0.2500
0.7555 0.2445 0.2445
0.7555 0.7555 0.2445
0.2445 0.7555 0.7555
0.7555 0.2445 0.7555
0.2445 0.7555 0.2445
0.2445 0.2445 0.7555
```

formation energy (no corrections)	-1.80	eV per atom
SG	Fm-3m, No. 225
DOS at the Fermi energy	0.00	states/eV/cell